Entry 1:
The following is a DFT calculation (PBE) of LiMgSi after structural relaxation.

a b c (Å): 4.6060 4.6191 6.4348
angles (deg): 108.09 93.07 119.20
With the nearest neighbours (Å) after each atom.
Space group P1 (No. 1)
Unique sites:
Li  0.0000  0.0000  0.0000 (multiplicity 1)  4 Si 2.65-2.90, 4 Mg 2.90-2.96
Li  0.0847  0.4382  0.5146 (multiplicity 1)  4 Si 2.65-2.70, 3 Mg 2.89-2.96
Mg  0.4059  0.7829  0.1935 (multiplicity 1)  4 Si 2.67-2.79, 3 Li 2.90-2.92
Mg  0.4928  0.2344  0.7189 (multiplicity 1)  4 Si 2.74-2.83, 5 Li 2.89-2.98
Si  0.7330  0.4288  0.1694 (multiplicity 1)  1 Si 2.52, 2 Li 2.65-2.79, 4 Mg 2.67-2.74
Si  0.7705  0.8015  0.5621 (multiplicity 1)  1 Si 2.52, 4 Li 2.65-2.70, 1 Mg 2.79

Values from the calculation:
Total moment: 0.0 μB per formula unit
Energy relative to the elements, uncorrected: -0.460 eV/f.u.
E_tot: -3.1305 eV per atom

=====

Entry 2:
The following is a DFT calculation (PBE) of Li3MgSi after structural relaxation.

a b c (Å): 4.7500 4.7500 4.7500
angles (deg): 90.00 90.00 90.00
With the nearest neighbours (Å) after each atom.
Space group Pm-3m (No. 221)
Unique sites:
Li  0.0000  0.0000  0.5000 (multiplicity 3)  2 Si 2.38
Mg  0.5000  0.5000  0.5000 (multiplicity 1)  12 Li 3.36
Si  0.0000  0.0000  0.0000 (multiplicity 1)  6 Li 2.38

Values from the calculation:
Total moment: 0.0 μB per formula unit
Energy relative to the elements, uncorrected: 0.696 eV/f.u.
E_tot: -2.4125 eV per atom